1.
## Rb3AcSe4O12 (PBE-GGA)

Data for crystalline Rb3AcSe4O12 at its relaxed geometry.

Cell: 8.0803 8.0803 8.0803 Å, 105.18 105.18 105.18°
Closest atoms and distances in Å follow each position.
Fractional positions:
Rb1 0.5237 0.4763 0.0000  4 O 2.82-2.88
Rb2 0.4763 0.0000 0.5237  4 O 2.82-2.88
Rb3 0.0000 0.5237 0.4763  4 O 2.82-2.88
Ac1 0.0000 0.0000 0.0000  6 O 2.53
Se1 0.9690 0.0310 0.5000  3 O 1.67-1.84
Se2 0.0310 0.5000 0.9690  3 O 1.67-1.84
Se3 0.5000 0.9690 0.0310  3 O 1.67-1.84
Se4 0.5000 0.5000 0.5000  3 O 1.68
O1 0.5000 0.3688 0.6312  1 Se 1.68
O2 0.9006 0.5000 0.0994  1 Se 1.67
O3 0.0994 0.9006 0.5000  1 Se 1.67
O4 0.5000 0.0994 0.9006  1 Se 1.67
O5 0.3291 0.0208 0.1275  1 Se 1.84
O6 0.1275 0.3291 0.0208  1 Se 1.84
O7 0.0208 0.1275 0.3291  1 Se 1.84
O8 0.6709 0.8725 0.9792  1 Se 1.84
O9 0.9792 0.6709 0.8725  1 Se 1.84
O10 0.8725 0.9792 0.6709  1 Se 1.84
O11 0.6312 0.5000 0.3688  1 Se 1.68
O12 0.3688 0.6312 0.5000  1 Se 1.68

Computed properties:
Space group = R32 (155)
Energy = -101.8 eV for the cell shown

---

2.
## RbAc2SeO5 (PBE-GGA)

Data for crystalline RbAc2SeO5 at its relaxed geometry.

Cell: 7.2903 7.2903 8.0864 Å, 116.79 116.79 90.00°
Closest atoms and distances in Å follow each position.
Fractional positions:
Rb1 0.2500 0.2500 0.5000  10 O 3.12-3.27
Rb2 0.7500 0.7500 0.5000  10 O 3.12-3.27
Ac1 0.1794 0.3206 0.0000  8 O 2.48-2.74
Ac2 0.6794 0.1794 0.0000  8 O 2.48-2.74
Ac3 0.3206 0.8206 0.0000  8 O 2.48-2.74
Ac4 0.8206 0.6794 0.0000  8 O 2.48-2.74
Se1 0.2500 0.7500 0.5000  4 O 2.09
Se2 0.7500 0.2500 0.5000  4 O 2.09
O1 0.9916 0.4916 0.2438  1 Se 2.09
O2 0.7478 0.2478 0.7562  1 Se 2.09
O3 0.0084 0.5084 0.7562  1 Se 2.09
O4 0.2478 0.0084 0.7562  1 Se 2.09
O5 0.5084 0.7478 0.7562  1 Se 2.09
O6 0.7522 0.9916 0.2438  1 Se 2.09
O7 0.4916 0.2522 0.2438  1 Se 2.09
O8 0.2522 0.7522 0.2438  1 Se 2.09
O9 0.5000 0.5000 0.0000  4 Ac 2.68
O10 0.0000 0.0000 0.0000  4 Ac 2.68

Computed properties:
Space group = I4/mcm (140)
Energy = -111.9 eV for the cell shown

---

3.
## RbAcSe2O6 (PBE-GGA)

Data for crystalline RbAcSe2O6 at its relaxed geometry.

Cell: 5.9680 5.9680 7.4658 Å, 66.44 66.44 60.00°
Closest atoms and distances in Å follow each position.
Fractional positions:
Rb1 0.0000 0.0000 0.0000  6 O 3.07
Ac1 0.5000 0.5000 0.5000  6 O 2.51
Se1 0.7237 0.7237 0.8290  3 O 1.73
Se2 0.2763 0.2763 0.1710  3 O 1.73
O1 0.0458 0.5257 0.7225  1 Se 1.73
O2 0.7060 0.0458 0.7225  1 Se 1.73
O3 0.4743 0.2940 0.2775  1 Se 1.73
O4 0.9542 0.4743 0.2775  1 Se 1.73
O5 0.2940 0.9542 0.2775  1 Se 1.73
O6 0.5257 0.7060 0.7225  1 Se 1.73

Computed properties:
Space group = R-3 (148)
Energy = -59.3 eV for the cell shown

---

4.
## Rb2Ac3Se3O2 (PBE-GGA)

Data for crystalline Rb2Ac3Se3O2 at its relaxed geometry.

Cell: 4.6291 4.6291 14.5288 Å, 99.17 99.17 90.00°
Closest atoms and distances in Å follow each position.
Fractional positions:
Rb1 0.7500 0.2500 0.5000  4 O 2.77
Rb2 0.2500 0.7500 0.5000  4 O 2.77
Ac1 0.8793 0.8793 0.7586  1 O 2.15
Ac2 0.5000 0.5000 0.0000  6 Se 3.17-3.27
Ac3 0.1207 0.1207 0.2414  1 O 2.15
Se1 0.6120 0.6120 0.2241  5 Ac 3.17-3.28
Se2 0.3880 0.3880 0.7759  5 Ac 3.17-3.28
Se3 0.0000 0.0000 0.0000  6 Ac 3.27-3.42
O1 0.8035 0.8035 0.6070  1 Ac 2.15
O2 0.1965 0.1965 0.3930  1 Ac 2.15

Computed properties:
Space group = I4/mmm (139)
Energy = -54.1 eV for the cell shown

---

5.
## RbAcSiO4 (PBE-GGA)

Data for crystalline RbAcSiO4 at its relaxed geometry.

Cell: 6.1117 5.7316 7.8450 Å, 90.00 102.88 90.00°
Closest atoms and distances in Å follow each position.
Fractional positions:
Rb1 0.7150 0.7500 0.9324  6 O 2.99-3.32
Rb2 0.2850 0.2500 0.0676  6 O 2.99-3.32
Ac1 0.7625 0.7500 0.4433  6 O 2.53-2.67
Ac2 0.2375 0.2500 0.5567  6 O 2.53-2.67
Si1 0.2348 0.7500 0.3277  4 O 1.64-1.67
Si2 0.7652 0.2500 0.6723  4 O 1.64-1.67
O1 0.9348 0.4784 0.6916  1 Si 1.66
O2 0.0652 0.9784 0.3084  1 Si 1.66
O3 0.0652 0.5216 0.3084  1 Si 1.66
O4 0.9348 0.0216 0.6916  1 Si 1.66
O5 0.4115 0.7500 0.1979  1 Si 1.64
O6 0.5885 0.2500 0.8021  1 Si 1.64
O7 0.3873 0.7500 0.5330  1 Si 1.67
O8 0.6127 0.2500 0.4670  1 Si 1.67

Computed properties:
Space group = P2_1/m (11)
Energy = -100.7 eV for the cell shown

---

6.
## RbAc2SiO6 (PBE-GGA)

Data for crystalline RbAc2SiO6 at its relaxed geometry.

Cell: 5.7143 6.4165 8.5462 Å, 90.00 88.90 90.00°
Closest atoms and distances in Å follow each position.
Fractional positions:
Rb1 0.5000 0.0000 0.0000  6 O 2.67-2.88
Rb2 0.0000 0.5000 0.5000  6 O 2.67-2.88
Ac1 0.0119 0.9587 0.2688  6 O 2.45-2.66
Ac2 0.5119 0.5413 0.7688  6 O 2.45-2.66
Ac3 0.9881 0.0413 0.7312  6 O 2.45-2.66
Ac4 0.4881 0.4587 0.2312  6 O 2.45-2.66
Si1 0.5000 0.0000 0.5000  6 O 1.81-1.86
Si2 0.0000 0.5000 0.0000  6 O 1.81-1.86
O1 0.2747 0.6357 0.0236  1 Si 1.81
O2 0.7747 0.8643 0.5236  1 Si 1.81
O3 0.7253 0.3643 0.9764  1 Si 1.81
O4 0.2253 0.1357 0.4764  1 Si 1.81
O5 0.3744 0.7709 0.3985  1 Si 1.86
O6 0.8744 0.7291 0.8985  1 Si 1.86
O7 0.6256 0.2291 0.6015  1 Si 1.86
O8 0.1256 0.2709 0.1015  1 Si 1.86
O9 0.8901 0.6017 0.1864  1 Si 1.82
O10 0.3901 0.8983 0.6864  1 Si 1.82
O11 0.1099 0.3983 0.8136  1 Si 1.82
O12 0.6099 0.1017 0.3136  1 Si 1.82

Computed properties:
Space group = P2_1/c (14)
Energy = -140.2 eV for the cell shown

---

7.
## Rb3AcSi2O8 (PBE-GGA)

Data for crystalline Rb3AcSi2O8 at its relaxed geometry.

Cell: 6.1344 6.1344 8.3143 Å, 90.00 90.00 120.00°
Closest atoms and distances in Å follow each position.
Fractional positions:
Rb1 0.3333 0.6667 0.7291  1 O 2.75
Rb2 0.6667 0.3333 0.2709  1 O 2.75
Rb3 0.0000 0.0000 0.0000  12 O 3.31-3.58
Ac1 0.0000 0.0000 0.5000  6 O 2.48
Si1 0.3333 0.6667 0.2582  4 O 1.64-1.65
Si2 0.6667 0.3333 0.7418  4 O 1.64-1.65
O1 0.3333 0.6667 0.0598  1 Si 1.65
O2 0.6667 0.3333 0.9402  1 Si 1.65
O3 0.1860 0.8140 0.3188  1 Si 1.64
O4 0.8140 0.1860 0.6812  1 Si 1.64
O5 0.1860 0.3720 0.3188  1 Si 1.64
O6 0.8140 0.6280 0.6812  1 Si 1.64
O7 0.6280 0.8140 0.3188  1 Si 1.64
O8 0.3720 0.1860 0.6812  1 Si 1.64

Computed properties:
Space group = P-3m1 (164)
Energy = -90.1 eV for the cell shown

---

8.
## Rb3Ac2SmO6 (PBE-GGA)

Data for crystalline Rb3Ac2SmO6 at its relaxed geometry.

Cell: 6.5769 6.5769 6.9897 Å, 98.98 98.98 120.04°
Closest atoms and distances in Å follow each position.
Fractional positions:
Rb1 0.1626 0.8374 0.5000  6 O 2.98-3.14
Rb2 0.8374 0.1626 0.5000  6 O 2.98-3.14
Rb3 0.5000 0.5000 0.5000  6 O 3.01-3.11
Ac1 0.3332 0.6668 0.0000  6 O 2.55
Ac2 0.6668 0.3332 0.0000  6 O 2.55
Sm1 0.0000 0.0000 0.0000  6 O 2.42
O1 0.9391 0.6210 0.8172  1 Sm 2.42, 2 Ac 2.55
O2 0.7424 0.7424 0.1826  1 Sm 2.42, 2 Ac 2.55
O3 0.0609 0.3790 0.1828  1 Sm 2.42, 2 Ac 2.55
O4 0.6210 0.9391 0.8172  1 Sm 2.42, 2 Ac 2.55
O5 0.2576 0.2576 0.8174  1 Sm 2.42, 2 Ac 2.55
O6 0.3790 0.0609 0.1828  1 Sm 2.42, 2 Ac 2.55

Computed properties:
Space group = C2/m (12)
Energy = -76.1 eV for the cell shown